Entry 1:
VASP calculation (PBE) on a geometry-optimized Ba2TiCd2 structure.

Properties
Space-group type   No. 127
Formation enthalpy at 0 K   3.9 kcal/mol of atoms
DOS at the Fermi energy   8.84 states/eV/f.u.
E above lowest polymorph   0.0 meV/atom

Unit cell a=7.9646 b=7.9646 c=5.5362 alpha=90.00 beta=90.00 gamma=90.00
Closest atoms and distances in Å follow each position.
Fractional positions:
Ti 0.0000 0.0000 0.0000  4 Cd 3.10
Ti 0.5000 0.5000 0.0000  4 Cd 3.10
Ba 0.1786 0.6786 0.5000  6 Cd 3.48-3.74
Ba 0.6786 0.8214 0.5000  6 Cd 3.48-3.74
Ba 0.8214 0.3214 0.5000  6 Cd 3.48-3.74
Ba 0.3214 0.1786 0.5000  6 Cd 3.48-3.74
Cd 0.3653 0.8653 0.0000  1 Cd 3.04, 2 Ti 3.10
Cd 0.8653 0.6347 0.0000  1 Cd 3.04, 2 Ti 3.10
Cd 0.6347 0.1347 0.0000  1 Cd 3.04, 2 Ti 3.10
Cd 0.1347 0.3653 0.0000  1 Cd 3.04, 2 Ti 3.10



Entry 2:
VASP calculation (PBE) on a geometry-optimized Gd5Er3H12 structure.

Properties
Final energy   -0.4913 Ry per atom
Space-group type   No. 230
DOS at the Fermi energy   14.07 states/eV/f.u.

Unit cell a=11.3544 b=11.3544 c=11.3544 alpha=109.47 beta=109.47 gamma=109.47
Closest atoms and distances in Å follow each position.
Fractional positions:
Er 0.7500 0.3750 0.1250  4 H 2.20
Er 0.8750 0.7500 0.1250  4 H 2.20
Er 0.3750 0.7500 0.6250  4 H 2.20
Er 0.2500 0.1250 0.3750  4 H 2.20
Er 0.8750 0.1250 0.2500  4 H 2.20
Er 0.3750 0.6250 0.2500  4 H 2.20
Er 0.6250 0.3750 0.7500  4 H 2.20
Er 0.1250 0.8750 0.7500  4 H 2.20
Er 0.7500 0.8750 0.6250  4 H 2.20
Er 0.6250 0.2500 0.3750  4 H 2.20
Er 0.1250 0.2500 0.8750  4 H 2.20
Er 0.2500 0.6250 0.8750  4 H 2.20
Gd 0.1250 0.3750 0.2500  8 H 2.29-2.40
Gd 0.0000 0.5000 0.0000  6 H 2.25
Gd 0.0000 0.0000 0.0000  6 H 2.25
Gd 0.3750 0.2500 0.1250  8 H 2.29-2.40
Gd 0.5000 0.0000 0.5000  6 H 2.25
Gd 0.5000 0.5000 0.0000  6 H 2.25
Gd 0.1250 0.7500 0.3750  8 H 2.29-2.40
Gd 0.7500 0.1250 0.8750  8 H 2.29-2.40
Gd 0.7500 0.6250 0.3750  8 H 2.29-2.40
Gd 0.3750 0.1250 0.7500  8 H 2.29-2.40
Gd 0.6250 0.8750 0.2500  8 H 2.29-2.40
Gd 0.5000 0.5000 0.5000  6 H 2.25
Gd 0.5000 0.0000 0.0000  6 H 2.25
Gd 0.0000 0.0000 0.5000  6 H 2.25
Gd 0.2500 0.3750 0.6250  8 H 2.29-2.40
Gd 0.2500 0.8750 0.1250  8 H 2.29-2.40
Gd 0.0000 0.5000 0.5000  6 H 2.25
Gd 0.8750 0.2500 0.6250  8 H 2.29-2.40
Gd 0.6250 0.7500 0.8750  8 H 2.29-2.40
Gd 0.8750 0.6250 0.7500  8 H 2.29-2.40
H 0.9138 0.3488 0.0751  1 Er 2.20, 3 Gd 2.25-2.40, 1 H 2.33
H 0.1613 0.5751 0.2263  1 Er 2.20, 3 Gd 2.25-2.40, 1 H 2.33
H 0.9249 0.1512 0.0862  1 Er 2.20, 3 Gd 2.25-2.40, 1 H 2.33
H 0.5751 0.4138 0.3488  1 Er 2.20, 3 Gd 2.25-2.40, 1 H 2.33
H 0.5650 0.9138 0.8387  1 Er 2.20, 3 Gd 2.25-2.40, 1 H 2.33
H 0.9249 0.7737 0.3387  1 Er 2.20, 3 Gd 2.25-2.40, 1 H 2.33
H 0.1613 0.5862 0.4350  1 Er 2.20, 3 Gd 2.25-2.40, 1 H 2.33
H 0.2737 0.9350 0.3488  1 Er 2.20, 3 Gd 2.25-2.40, 1 H 2.33
H 0.7737 0.9249 0.8387  1 Er 2.20, 3 Gd 2.25-2.40, 1 H 2.33
H 0.9138 0.5650 0.3387  1 Er 2.20, 3 Gd 2.25-2.40, 1 H 2.33
H 0.5862 0.4249 0.1512  1 Er 2.20, 3 Gd 2.25-2.40, 1 H 2.33
H 0.6613 0.7263 0.0751  1 Er 2.20, 3 Gd 2.25-2.40, 1 H 2.33
H 0.3488 0.9138 0.5751  1 Er 2.20, 3 Gd 2.25-2.40, 1 H 2.33
H 0.1512 0.2263 0.0650  1 Er 2.20, 3 Gd 2.25-2.40, 1 H 2.33
H 0.0650 0.7263 0.1512  1 Er 2.20, 3 Gd 2.25-2.40, 1 H 2.33
H 0.4350 0.3488 0.7737  1 Er 2.20, 3 Gd 2.25-2.40, 1 H 2.33
H 0.0650 0.3387 0.4138  1 Er 2.20, 3 Gd 2.25-2.40, 1 H 2.33
H 0.4249 0.8387 0.2737  1 Er 2.20, 3 Gd 2.25-2.40, 1 H 2.33
H 0.6613 0.9350 0.0862  1 Er 2.20, 3 Gd 2.25-2.40, 1 H 2.33
H 0.3488 0.4350 0.2737  1 Er 2.20, 3 Gd 2.25-2.40, 1 H 2.33
H 0.1512 0.9249 0.5862  1 Er 2.20, 3 Gd 2.25-2.40, 1 H 2.33
H 0.7737 0.8488 0.4350  1 Er 2.20, 3 Gd 2.25-2.40, 1 H 2.33
H 0.7263 0.6613 0.5751  1 Er 2.20, 3 Gd 2.25-2.40, 1 H 2.33
H 0.5862 0.1613 0.9350  1 Er 2.20, 3 Gd 2.25-2.40, 1 H 2.33
H 0.2263 0.1512 0.5650  1 Er 2.20, 3 Gd 2.25-2.40, 1 H 2.33
H 0.2737 0.3387 0.4249  1 Er 2.20, 3 Gd 2.25-2.40, 1 H 2.33
H 0.4138 0.8387 0.0650  1 Er 2.20, 3 Gd 2.25-2.40, 1 H 2.33
H 0.3387 0.0650 0.9138  1 Er 2.20, 3 Gd 2.25-2.40, 1 H 2.33
H 0.8488 0.0751 0.4138  1 Er 2.20, 3 Gd 2.25-2.40, 1 H 2.33
H 0.6512 0.5650 0.7263  1 Er 2.20, 3 Gd 2.25-2.40, 1 H 2.33
H 0.5751 0.1613 0.7263  1 Er 2.20, 3 Gd 2.25-2.40, 1 H 2.33
H 0.5650 0.6512 0.2263  1 Er 2.20, 3 Gd 2.25-2.40, 1 H 2.33
H 0.9350 0.6613 0.5862  1 Er 2.20, 3 Gd 2.25-2.40, 1 H 2.33
H 0.9350 0.2737 0.8488  1 Er 2.20, 3 Gd 2.25-2.40, 1 H 2.33
H 0.6512 0.0862 0.4249  1 Er 2.20, 3 Gd 2.25-2.40, 1 H 2.33
H 0.3387 0.2737 0.9249  1 Er 2.20, 3 Gd 2.25-2.40, 1 H 2.33
H 0.8488 0.7737 0.9350  1 Er 2.20, 3 Gd 2.25-2.40, 1 H 2.33
H 0.2263 0.0751 0.1613  1 Er 2.20, 3 Gd 2.25-2.40, 1 H 2.33
H 0.0862 0.4350 0.6613  1 Er 2.20, 3 Gd 2.25-2.40, 1 H 2.33
H 0.4138 0.5751 0.8488  1 Er 2.20, 3 Gd 2.25-2.40, 1 H 2.33
H 0.7263 0.0650 0.6512  1 Er 2.20, 3 Gd 2.25-2.40, 1 H 2.33
H 0.8387 0.4138 0.5650  1 Er 2.20, 3 Gd 2.25-2.40, 1 H 2.33
H 0.4249 0.5862 0.6512  1 Er 2.20, 3 Gd 2.25-2.40, 1 H 2.33
H 0.0751 0.2263 0.6613  1 Er 2.20, 3 Gd 2.25-2.40, 1 H 2.33
H 0.4350 0.0862 0.1613  1 Er 2.20, 3 Gd 2.25-2.40, 1 H 2.33
H 0.0751 0.8488 0.9138  1 Er 2.20, 3 Gd 2.25-2.40, 1 H 2.33
H 0.8387 0.4249 0.7737  1 Er 2.20, 3 Gd 2.25-2.40, 1 H 2.33
H 0.0862 0.6512 0.9249  1 Er 2.20, 3 Gd 2.25-2.40, 1 H 2.33



Entry 3:
VASP calculation (PBE) on a geometry-optimized ZrPd4Pb structure.

Properties
Space-group type   No. 12
Formation enthalpy at 0 K   -11.0 kcal/mol of atoms
DOS at the Fermi energy   2.55 states/eV/f.u.

Unit cell a=4.9510 b=8.8011 c=4.9357 alpha=90.00 beta=81.01 gamma=90.00
Closest atoms and distances in Å follow each position.
Fractional positions:
Zr 0.5000 0.0000 0.5000  10 Pd 2.86-2.92
Zr 0.0000 0.5000 0.5000  10 Pd 2.86-2.92
Pd 0.9999 0.6645 0.9999  2 Zr 2.86, 3 Pb 2.87-2.95, 5 Pd 2.87-2.90
Pd 0.5001 0.1645 0.0001  2 Zr 2.86, 3 Pb 2.87-2.95, 5 Pd 2.87-2.90
Pd 0.5001 0.3319 0.5000  5 Pd 2.86-2.96, 2 Pb 2.88, 3 Zr 2.88-2.92
Pd 0.9999 0.8319 0.5000  5 Pd 2.86-2.96, 2 Pb 2.88, 3 Zr 2.88-2.92
Pd 0.0001 0.3355 0.0001  2 Zr 2.86, 3 Pb 2.87-2.95, 5 Pd 2.87-2.90
Pd 0.4999 0.8355 0.9999  2 Zr 2.86, 3 Pb 2.87-2.95, 5 Pd 2.87-2.90
Pd 0.4999 0.6681 0.5000  5 Pd 2.86-2.96, 2 Pb 2.88, 3 Zr 2.88-2.92
Pd 0.0001 0.1681 0.5000  5 Pd 2.86-2.96, 2 Pb 2.88, 3 Zr 2.88-2.92
Pb 0.0000 0.0000 0.0000  10 Pd 2.87-2.95, 2 Zr 3.21
Pb 0.5000 0.5000 0.0000  10 Pd 2.87-2.95, 2 Zr 3.21



Entry 4:
VASP calculation (PBE) on a geometry-optimized PuBe2Tl3O6 structure.

Properties
E_form (uncorrected)   -1.850 eV/atom
Space-group type   No. 164
DOS at the Fermi energy   9.80 states/eV/f.u.

Unit cell a=5.6534 b=5.6534 c=7.3314 alpha=90.00 beta=90.00 gamma=120.00
Closest atoms and distances in Å follow each position.
Fractional positions:
Pu 0.0000 0.0000 0.5000  6 O 2.15
Be 0.6667 0.3333 0.6738  3 O 1.55
Be 0.3333 0.6667 0.3262  3 O 1.55
Tl 0.3333 0.6667 0.7763  6 O 2.92
Tl 0.6667 0.3333 0.2237  6 O 2.92
Tl 0.0000 0.0000 0.0000  6 O 2.93
O 0.6498 0.8249 0.3236  1 Be 1.55
O 0.1751 0.3502 0.3236  1 Be 1.55
O 0.1751 0.8249 0.3236  1 Be 1.55
O 0.8249 0.6498 0.6764  1 Be 1.55
O 0.3502 0.1751 0.6764  1 Be 1.55
O 0.8249 0.1751 0.6764  1 Be 1.55



Entry 5:
VASP calculation (PBE) on a geometry-optimized TlFe2PbCl8 structure.

Properties
E_form (uncorrected)   -0.913 eV/atom
Space-group type   No. 12
DOS at the Fermi energy   8.55 states/eV/f.u.

Unit cell a=6.6272 b=6.6272 c=9.7705 alpha=87.24 beta=87.24 gamma=69.64
Closest atoms and distances in Å follow each position.
Fractional positions:
Tl 0.0000 0.0000 0.5000  6 Cl 3.26-3.32
Fe 0.6198 0.6198 0.2280  4 Cl 2.20-2.28
Fe 0.3802 0.3802 0.7720  4 Cl 2.20-2.28
Pb 0.0000 0.0000 0.0000  6 Cl 2.90-2.94
Cl 0.7475 0.2616 0.7744  1 Fe 2.28
Cl 0.7328 0.7328 0.0277  1 Fe 2.25
Cl 0.7123 0.7123 0.4225  1 Fe 2.20
Cl 0.2877 0.2877 0.5775  1 Fe 2.20
Cl 0.2672 0.2672 0.9723  1 Fe 2.25
Cl 0.2616 0.7475 0.7744  1 Fe 2.28
Cl 0.7384 0.2525 0.2256  1 Fe 2.28
Cl 0.2525 0.7384 0.2256  1 Fe 2.28



| no. | calculated density (kg/m3) |
| --- | --- |
| 1 | 5176 |
| 2 | 7663 |
| 3 | 11321 |
| 4 | 7947 |
| 5 | 3336 |